# 1
# CaNd5 PBE relaxed
data_CaNd5
_cell_length_a 3.702
_cell_length_b 3.702
_cell_length_c 15.864
_cell_angle_alpha 90.00
_cell_angle_beta 90.00
_cell_angle_gamma 90.00
_space_group_name_H-M_alt 'P 4/m m m'
_space_group_IT_number 123
_space_group_name_Hall '-P 4 2'
loop_
_atom_site_label
_atom_site_fract_x
_atom_site_fract_y
_atom_site_fract_z
_atom_site_occupancy
Ca1 0.000 0.000 0.000 1
Nd1 0.000 0.000 0.334 1
Nd2 0.500 0.500 0.177 1
Nd3 0.500 0.500 0.500 1
# distance to the lowest polymorph of the same formula	0.0	meV/atom
# DOS(E_F)	1.40	states/eV/atom
# theoretical density	5.81	Mg/m³

# 2
# CaNd PBE relaxed
data_CaNd
_cell_length_a 4.222
_cell_length_b 4.222
_cell_length_c 4.222
_cell_angle_alpha 90.00
_cell_angle_beta 90.00
_cell_angle_gamma 90.00
_space_group_name_H-M_alt 'P m -3 m'
_space_group_IT_number 221
_space_group_name_Hall '-P 4 2 3'
loop_
_atom_site_label
_atom_site_fract_x
_atom_site_fract_y
_atom_site_fract_z
_atom_site_occupancy
Ca1 0.000 0.000 0.000 1
Nd1 0.500 0.500 0.500 1
# distance to the lowest polymorph of the same formula	80.4	meV/atom
# DOS(E_F)	1.49	states/eV/atom
# theoretical density	4.07	Mg/m³

# 3
# Ca5Nd PBE relaxed
data_Ca5Nd
_cell_length_a 3.817
_cell_length_b 3.817
_cell_length_c 16.651
_cell_angle_alpha 90.00
_cell_angle_beta 90.00
_cell_angle_gamma 90.00
_space_group_name_H-M_alt 'P 4/m m m'
_space_group_IT_number 123
_space_group_name_Hall '-P 4 2'
loop_
_atom_site_label
_atom_site_fract_x
_atom_site_fract_y
_atom_site_fract_z
_atom_site_occupancy
Ca1 0.000 0.000 0.000 1
Ca2 0.000 0.000 0.341 1
Ca3 0.500 0.500 0.170 1
Nd1 0.500 0.500 0.500 1
# distance to the lowest polymorph of the same formula	5.1	meV/atom
# DOS(E_F)	1.62	states/eV/atom
# theoretical density	2.36	Mg/m³

# 4
# Ca3Nd PBE relaxed
data_Ca3Nd
_cell_length_a 3.7984
_cell_length_b 3.7984
_cell_length_c 38.0182
_cell_angle_alpha 90.00
_cell_angle_beta 90.00
_cell_angle_gamma 120.00
_space_group_name_H-M_alt 'R -3 m'
_space_group_IT_number 166
_space_group_name_Hall '-R 3 2"'
loop_
_atom_site_label
_atom_site_fract_x
_atom_site_fract_y
_atom_site_fract_z
_atom_site_occupancy
Ca1 0.0000 0.0000 0.0000 1
Ca2 0.0000 0.0000 0.2484 1
Nd1 0.0000 0.0000 0.5000 1
# distance to the lowest polymorph of the same formula	0.0	meV/atom
# DOS(E_F)	1.67	states/eV/atom
# theoretical density	2.77	Mg/m³

# 5
# Ca3Nd PBE relaxed
data_Ca3Nd
_cell_length_a 3.766
_cell_length_b 12.588
_cell_length_c 6.675
_cell_angle_alpha 90.00
_cell_angle_beta 90.00
_cell_angle_gamma 90.00
_space_group_name_H-M_alt 'I m m 2'
_space_group_IT_number 44
_space_group_name_Hall 'I 2 -2'
loop_
_atom_site_label
_atom_site_fract_x
_atom_site_fract_y
_atom_site_fract_z
_atom_site_occupancy
Ca1 0.000 0.000 0.000 1
Ca2 0.000 0.247 0.673 1
Nd1 0.000 0.500 0.999 1
# distance to the lowest polymorph of the same formula	30.8	meV/atom
# DOS(E_F)	1.67	states/eV/atom
# theoretical density	2.78	Mg/m³

# 6
# Ca3Nd PBE relaxed
data_Ca3Nd
_cell_length_a 3.550
_cell_length_b 3.707
_cell_length_c 12.216
_cell_angle_alpha 90.00
_cell_angle_beta 90.00
_cell_angle_gamma 90.00
_space_group_name_H-M_alt 'P m m 2'
_space_group_IT_number 25
_space_group_name_Hall 'P 2 -2'
loop_
_atom_site_label
_atom_site_fract_x
_atom_site_fract_y
_atom_site_fract_z
_atom_site_occupancy
Ca1 0.000 0.000 0.000 1
Ca2 0.000 0.500 0.270 1
Ca3 0.500 0.500 0.758 1
Nd1 0.500 0.000 0.500 1
# distance to the lowest polymorph of the same formula	135.8	meV/atom
# DOS(E_F)	1.40	states/eV/atom
# theoretical density	2.73	Mg/m³